(1)
Density functional theory data (PBE) for a geometry-optimized CrGa2Mo structure.

abc: 6.902 6.902 5.320
angles: 90.00 90.00 90.00
Space group I-42d (No. 122)
Unique sites:
Cr 0.000 0.000 0.000 [4 per cell]
Ga 0.238 0.250 0.125 [8 per cell]
Mo 0.000 0.000 0.500 [4 per cell]

Computed properties:
M_tot	7.82	Bohr magnetons per cell
DOS(E_F)	0.554	states/eV/atom
energy relative to the lowest polymorph listed for this composition	168	meV per atom

---

(2)
Density functional theory data (PBE) for a geometry-optimized Cr3GaMo structure.

abc: 4.529 4.529 4.529
angles: 90.00 90.00 90.00
Space group Pm-3m (No. 221)
Unique sites:
Cr 0.000 0.000 0.500 [3 per cell]
Ga 0.000 0.000 0.000 [1 per cell]
Mo 0.500 0.500 0.500 [1 per cell]

Computed properties:
M_tot	7.00	Bohr magnetons per cell
DOS(E_F)	0.616	states/eV/atom
energy relative to the lowest polymorph listed for this composition	61	meV per atom

---

(3)
Density functional theory data (PBE) for a geometry-optimized CrGa3Mo structure.

abc: 4.589 4.589 4.589
angles: 90.00 90.00 90.00
Space group Pm-3m (No. 221)
Unique sites:
Cr 0.000 0.000 0.000 [1 per cell]
Ga 0.000 0.000 0.500 [3 per cell]
Mo 0.500 0.500 0.500 [1 per cell]

Computed properties:
M_tot	4.46	Bohr magnetons per cell
DOS(E_F)	0.499	states/eV/atom
energy relative to the lowest polymorph listed for this composition	0	meV per atom

---

(4)
Density functional theory data (PBE) for a geometry-optimized CrGaMo2N structure.

abc: 4.115 4.115 3.853
angles: 90.00 90.00 90.00
Space group P4/mmm (No. 123)
Unique sites:
Cr 0.000 0.000 0.000 [1 per cell]
Ga 0.500 0.500 0.000 [1 per cell]
Mo 0.000 0.500 0.500 [2 per cell]
N 0.000 0.000 0.500 [1 per cell]

Computed properties:
M_tot	0.00	Bohr magnetons per cell
DOS(E_F)	0.981	states/eV/atom
raw formation energy	-0.18	eV/atom

---

(5)
Density functional theory data (PBE) for a geometry-optimized Cr2GaMoN structure.

abc: 3.855 3.855 4.090
angles: 90.00 90.00 90.00
Space group P4/mmm (No. 123)
Unique sites:
Cr 0.000 0.500 0.000 [2 per cell]
Ga 0.000 0.000 0.500 [1 per cell]
Mo 0.500 0.500 0.500 [1 per cell]
N 0.500 0.500 0.000 [1 per cell]

Computed properties:
M_tot	0.00	Bohr magnetons per cell
DOS(E_F)	0.961	states/eV/atom
raw formation energy	-0.21	eV/atom